Computed, not measured: crystalline TaIn3Sb at its relaxed geometry at the GGA-PBE level of DFT.

```
TaIn3Sb
1.0
5.574 0.000 0.000
0.000 5.574 0.000
0.000 0.000 5.574
Sb In Ta
1 3 1
Cartesian
0.000 0.000 0.000 Sb
0.000 2.787 0.000 In
2.787 0.000 0.000 In
0.000 0.000 2.787 In
2.787 2.787 2.787 Ta
```

## Properties
Energy above the lowest structure with this stoichiometry = 646 meV per atom
E_form (uncorrected) = 7.3 eV per formula unit
Symmetry = No. 221

=====

Computed, not measured: crystalline Li6Pr2Hg3 at its relaxed geometry at the GGA-PBE level of DFT.

```
Li6Pr2Hg3
1.0
4.111 0.000 0.000
0.000 8.463 0.000
0.000 -4.231 7.329
Li Pr Hg
6 2 3
Cartesian
2.056 2.291 0.000 Li
0.000 0.829 1.435 Li
0.000 -3.403 5.894 Li
2.056 -1.145 1.984 Li
2.056 3.086 5.345 Li
0.000 6.806 0.000 Li
0.000 4.231 2.443 Pr
0.000 0.000 4.886 Pr
2.056 5.053 0.000 Hg
2.056 -2.527 4.376 Hg
2.056 1.705 2.953 Hg
```

## Properties
Formation energy from the elements = -0.230 eV per atom
Symmetry = No. 189

=====

Computed, not measured: crystalline VIr2Os at its relaxed geometry at the GGA-PBE level of DFT.

```
VIr2Os
1.0
3.765 0.000 0.000
0.000 3.765 0.000
1.883 1.883 8.816
V Ir Os
2 4 2
Cartesian
1.883 1.883 0.000 V
1.883 3.765 4.408 V
2.808 0.941 2.204 Ir
2.824 2.840 6.612 Ir
4.706 4.690 6.612 Ir
0.957 2.824 2.204 Ir
3.765 1.883 4.408 Os
0.000 0.000 0.000 Os
```

## Properties
Energy above the lowest structure with this stoichiometry = 733 meV per atom
Formation energy from the elements = 0.375 eV per atom
Symmetry = No. 122

=====

Computed, not measured: crystalline GaSbI2N at its relaxed geometry at the GGA-PBE level of DFT.

```
GaSbI2N
1.0
-5.888 -2.203 0.433
0.729 -3.025 -5.480
1.352 -3.228 1.962
I Ga N Sb
2 1 1 1
Cartesian
0.365 -1.512 -2.740 I
-2.944 -1.102 0.216 I
-1.903 -4.228 -1.543 Ga
0.676 -1.614 0.981 N
0.000 0.000 0.000 Sb
```

## Properties
Energy above the lowest structure with this stoichiometry = 0 meV per atom
E_form (uncorrected) = 2.1 eV per formula unit
Symmetry = No. 123

=====

Computed, not measured: crystalline ZnCuO2F at its relaxed geometry at the GGA-PBE level of DFT.

```
ZnCuO2F
1.0
3.831 0.000 0.000
0.000 3.831 0.000
0.000 0.000 3.959
Cu O Zn F
1 2 1 1
Cartesian
1.915 1.915 1.979 Cu
1.915 0.000 0.000 O
0.000 1.915 0.000 O
0.000 0.000 0.000 Zn
0.000 0.000 1.979 F
```

## Properties
E_form (uncorrected) = -1.8 eV per formula unit
Symmetry = No. 123

=====

Computed, not measured: crystalline TbMg3C4O12 at its relaxed geometry at the GGA-PBE level of DFT.

```
TbMg3C4O12
1.0
-0.717 -1.375 -5.926
-4.749 -2.828 2.640
-1.626 5.901 0.236
C Tb Mg O
4 1 3 12
Cartesian
-3.961 4.170 1.288 C
-4.972 -3.137 -0.428 C
-1.706 1.512 -5.436 C
-3.546 0.849 -1.525 C
0.000 0.000 0.000 Tb
-3.323 1.157 1.542 Mg
-2.558 -2.039 -2.015 Mg
-1.211 2.579 -2.577 Mg
-3.423 -0.137 -2.360 O
-5.169 -2.140 0.405 O
-5.187 0.257 1.960 O
-2.189 0.323 -5.154 O
-1.757 2.508 -4.580 O
-4.093 0.652 -0.364 O
-3.176 -2.112 -4.032 O
-4.334 2.968 1.665 O
-4.360 -2.976 -1.580 O
-2.276 4.401 -2.503 O
-3.468 4.407 0.093 O
-3.123 2.031 -1.851 O
```

## Properties
E_form (uncorrected) = -39.9 eV per formula unit
Symmetry = No. 155

=====

Computed, not measured: crystalline Th2Ga5Ni3 at its relaxed geometry at the GGA-PBE level of DFT.

```
Th2Ga5Ni3
1.0
5.543 0.000 2.025
3.049 7.768 0.237
0.093 -0.523 8.331
Ni Ga Th
6 10 4
Cartesian
4.434 7.766 0.745 Ni
7.219 5.594 6.029 Ni
5.020 3.846 3.435 Ni
1.466 1.651 4.564 Ni
4.251 -0.521 9.848 Ni
3.666 3.400 7.159 Ni
2.110 0.153 2.829 Ga
3.724 5.775 2.689 Ga
5.518 1.938 2.099 Ga
4.961 1.471 7.904 Ga
6.575 7.092 7.765 Ga
2.191 1.474 6.888 Ga
6.494 5.772 3.705 Ga
3.167 5.308 8.494 Ga
5.730 3.626 5.800 Ga
2.956 3.619 4.794 Ga
2.535 2.950 1.662 Th
4.143 6.440 5.825 Th
4.542 0.805 4.768 Th
6.150 4.296 8.931 Th
```

## Properties
Energy above the lowest structure with this stoichiometry = 0 meV per atom
Formation energy from the elements = -0.601 eV per atom
Symmetry = No. 15

=====

Computed, not measured: crystalline CrTeOs2 at its relaxed geometry at the GGA-PBE level of DFT.

```
CrTeOs2
1.0
-1.615 2.128 1.292
-0.939 -1.947 2.034
5.488 1.661 4.124
Os Te Cr
2 1 1
Cartesian
5.436 1.646 4.085 Os
0.020 0.483 2.637 Os
2.799 0.847 2.104 Te
2.911 1.359 4.810 Cr
```

## Properties
E_form (uncorrected) = 2.5 eV per formula unit
Symmetry = No. 99

=====

Computed, not measured: crystalline ScRe2 at its relaxed geometry at the GGA-PBE level of DFT.

```
ScRe2
1.0
0.000 2.297 6.812
1.568 0.000 6.812
1.568 2.297 0.000
Re Sc
2 1
Cartesian
1.568 2.297 2.358 Re
1.568 2.297 11.266 Re
1.568 2.297 6.812 Sc
```

## Properties
Formation energy from the elements = 0.100 eV per atom
Symmetry = No. 69

=====

Computed, not measured: crystalline Pr10Ho6Mg at its relaxed geometry at the GGA-PBE level of DFT.

```
Pr10Ho6Mg
1.0
6.927 0.000 0.000
0.000 8.531 -4.925
0.000 0.000 9.850
Ho Pr Mg
6 10 1
Cartesian
4.766 5.361 -3.095 Ho
4.766 3.169 1.830 Ho
2.161 0.000 3.660 Ho
2.161 3.169 -1.830 Ho
4.766 0.000 6.191 Ho
2.161 5.361 3.095 Ho
1.270 6.261 -3.615 Pr
1.270 0.000 7.229 Pr
3.463 2.844 4.925 Pr
5.657 2.270 -1.310 Pr
5.657 6.261 3.615 Pr
3.463 5.687 0.000 Pr
5.657 0.000 2.621 Pr
1.270 2.270 1.310 Pr
0.000 5.687 0.000 Pr
0.000 2.844 4.925 Pr
3.463 0.000 0.000 Mg
```

## Properties
Formation energy from the elements = 0.118 eV per atom
Symmetry = No. 162

=====

Computed, not measured: crystalline BaVSe2S at its relaxed geometry at the GGA-PBE level of DFT.

```
BaVSe2S
1.0
-3.434 1.716 5.815
-3.416 -2.614 -5.481
0.817 -5.454 2.092
Ba Se V S
2 4 2 2
Cartesian
-3.422 -1.170 -1.714 Ba
-3.019 -2.458 3.085 Ba
-3.431 0.976 3.884 Se
-5.124 -0.322 1.161 Se
-3.010 -4.597 -2.495 Se
-1.729 0.123 0.996 Se
-2.826 -2.368 7.314 V
-3.226 0.301 6.290 V
-4.803 -3.736 0.450 S
-1.227 -3.267 0.276 S
```

## Properties
Energy above the lowest structure with this stoichiometry = 0 meV per atom
E_form (uncorrected) = -6.2 eV per formula unit
Symmetry = No. 38

=====

Computed, not measured: crystalline NaAc2Re2N6 at its relaxed geometry at the GGA-PBE level of DFT.

```
NaAc2Re2N6
1.0
-2.774 -4.101 4.590
0.969 -5.850 -1.692
3.549 2.597 4.296
Ac N Re Na
2 6 2 1
Cartesian
1.379 -4.145 5.935 Ac
0.365 -3.209 1.259 Ac
0.223 -5.864 0.790 N
1.522 -1.489 6.404 N
2.169 -4.273 2.803 N
-1.155 -6.007 4.078 N
2.900 -1.346 3.116 N
-0.424 -3.081 4.391 N
-1.665 -4.259 3.874 Re
3.410 -3.095 3.320 Re
0.388 -0.752 4.443 Na
```

## Properties
E_form (uncorrected) = -6.6 eV per formula unit
Symmetry = No. 2

=====

Computed, not measured: crystalline K3TbY2Se6 at its relaxed geometry at the GGA-PBE level of DFT.

```
K3TbY2Se6
1.0
-1.572 0.835 7.091
5.019 -4.892 -2.080
4.321 6.718 -1.089
Y K Se Tb
2 3 6 1
Cartesian
2.822 -2.983 0.977 Y
0.625 -1.074 4.034 Y
3.884 1.330 1.961 K
1.686 3.239 5.019 K
6.082 -0.579 -1.097 K
0.600 1.383 2.488 Se
3.421 -1.599 3.457 Se
4.967 3.190 4.497 Se
2.802 -0.530 -0.575 Se
4.347 4.259 0.465 Se
7.168 1.278 1.434 Se
0.000 0.000 0.000 Tb
```

## Properties
E_form (uncorrected) = -21.3 eV per formula unit
Symmetry = No. 12

=====

Computed, not measured: crystalline TbBi2S4 at its relaxed geometry at the GGA-PBE level of DFT.

```
TbBi2S4
1.0
3.740 0.000 0.000
-1.870 7.259 0.000
0.000 0.000 13.131
S Tb Bi
8 2 4
Cartesian
1.870 4.310 4.950 S
1.870 4.310 1.615 S
1.870 0.000 6.565 S
1.870 0.000 0.000 S
0.000 2.949 8.181 S
0.000 0.340 3.283 S
0.000 2.949 11.515 S
1.870 6.919 9.848 S
1.870 1.646 9.848 Tb
0.000 5.613 3.283 Tb
0.000 1.909 0.937 Bi
0.000 1.909 5.629 Bi
1.870 5.350 7.502 Bi
1.870 5.350 12.194 Bi
```

## Properties
E_form (uncorrected) = -5.9 eV per formula unit
Symmetry = No. 63

=====

Computed, not measured: crystalline DyCo4Ge at its relaxed geometry at the GGA-PBE level of DFT.

```
DyCo4Ge
1.0
4.908 0.000 0.000
2.454 4.250 0.000
2.454 1.417 4.007
Co Dy Ge
4 1 1
Cartesian
4.908 1.426 2.501 Co
3.689 3.537 2.501 Co
4.908 2.834 0.511 Co
6.126 3.537 2.501 Co
0.000 0.000 0.000 Dy
2.454 1.417 1.002 Ge
```

## Properties
Formation energy from the elements = -0.103 eV per atom
Symmetry = No. 216

=====

Computed, not measured: crystalline LaCeOsPd at its relaxed geometry at the GGA-PBE level of DFT.

```
LaCeOsPd
1.0
-4.273 -2.037 1.724
0.140 -4.286 2.644
-1.002 0.052 4.937
Pd La Os Ce
1 1 1 1
Cartesian
0.000 0.000 0.000 Pd
-1.284 -1.568 2.326 La
-2.568 -3.136 4.653 Os
-3.852 -4.703 6.979 Ce
```

## Properties
Formation energy from the elements = -0.346 eV per atom
Symmetry = No. 216

=====

Computed, not measured: crystalline LaRe at its relaxed geometry at the GGA-PBE level of DFT.

```
LaRe
1.0
5.059 0.000 0.000
0.000 5.059 0.000
0.000 0.000 3.591
Re La
2 2
Cartesian
3.795 3.795 1.794 Re
1.265 1.265 1.796 Re
3.795 1.265 0.000 La
1.265 3.795 0.000 La
```

## Properties
Energy above the lowest structure with this stoichiometry = 647 meV per atom
Formation energy from the elements = 0.799 eV per atom
Symmetry = No. 123

=====

Computed, not measured: crystalline Ac2La5Y at its relaxed geometry at the GGA-PBE level of DFT.

```
Ac2La5Y
1.0
-1.344 2.683 4.447
-5.168 -5.219 1.587
10.271 -7.795 7.808
La Ac Y
10 4 2
Cartesian
2.539 -11.045 7.432 La
1.881 -7.434 8.290 La
-3.275 -3.557 4.392 La
0.000 0.000 0.000 La
1.878 -2.897 5.552 La
-0.039 -4.564 2.742 La
2.552 -6.507 4.698 La
5.143 -8.451 6.653 La
2.565 -1.969 1.963 La
7.035 -6.774 9.449 La
-0.699 -0.946 3.595 Ac
-0.702 -5.514 6.351 Ac
4.459 -9.386 10.247 Ac
4.462 -4.817 7.491 Ac
-2.584 -2.610 0.794 Y
5.136 -3.898 3.904 Y
```

## Properties
Energy above the lowest structure with this stoichiometry = 0 meV per atom
Formation energy from the elements = 0.018 eV per atom
Symmetry = No. 55

=====

Computed, not measured: crystalline Mn4AlCu at its relaxed geometry at the GGA-PBE level of DFT.

```
Mn4AlCu
1.0
-3.066 -2.461 -2.507
-4.533 1.083 0.144
-2.056 1.928 -3.714
Mn Al Cu
4 1 1
Cartesian
-3.762 -0.200 -3.874 Mn
-5.007 -0.624 -1.936 Mn
-4.499 1.580 -2.542 Mn
-6.039 0.344 -3.802 Mn
-2.413 0.138 -1.519 Al
0.000 0.000 0.000 Cu
```

## Properties
Formation energy from the elements = 0.182 eV per atom
Symmetry = No. 216

=====

Computed, not measured: crystalline CdSnIr2 at its relaxed geometry at the GGA-PBE level of DFT.

```
CdSnIr2
1.0
7.351 0.000 0.000
0.000 7.351 0.000
3.675 3.675 2.859
Sn Ir Cd
2 4 2
Cartesian
0.000 0.000 0.000 Sn
7.351 3.675 1.430 Sn
5.513 5.348 2.144 Ir
1.673 5.513 0.715 Ir
9.189 9.354 2.144 Ir
5.678 1.838 0.715 Ir
3.675 3.675 0.000 Cd
3.675 7.351 1.430 Cd
```

## Properties
Formation energy from the elements = 0.477 eV per atom
Symmetry = No. 122